4
Lattice="-4.155 -0.794 -1.784 -2.315 -3.310 -2.183 -2.938 -3.144 6.275" Properties=species:S:1:pos:R:3 comment="BaMgW2, optimized geometry, DFT GGA-PBE" total_magnetization_mub_per_atom=0.000 e_tot_ev_per_atom=-6.51 formation_energy_ev_per_atom=0.843 space_group="Cm (8)" dos_at_fermi_per_ev_cell=4.1 pbc="T T T"
Ba -4.785 -3.711 1.326
Mg -2.196 -1.605 -0.014
W -2.867 -3.053 6.028
W -7.202 -5.649 2.398

5
Lattice="-0.962 -4.323 -0.915 2.604 -1.311 3.457 -3.570 0.208 2.768" Properties=species:S:1:pos:R:3 comment="ZrCo3I, optimized geometry, DFT GGA-PBE" total_magnetization_mub_per_atom=0.005 polymorph_energy_ev_per_atom=0.000 e_form_raw_mev_per_atom=1139 e_tot_ev_per_atom=-5.14 space_group="Pm-3m (221)" dos_at_fermi_per_ev_cell=7.1 pbc="T T T"
I 0.000 0.000 0.000
Zr -0.963 -2.713 2.655
Co -1.785 0.104 1.384
Co -0.481 -2.161 -0.457
Co 1.302 -0.655 1.728

4
Lattice="-3.269 0.734 -0.392 -1.898 -1.828 -2.106 -3.894 -6.258 6.240" Properties=species:S:1:pos:R:3 comment="NdLu2N, optimized geometry, DFT GGA-PBE" total_magnetization_mub_per_atom=0.000 polymorph_energy_ev_per_atom=0.000 e_form_raw_mev_per_atom=-744 e_tot_ev_per_atom=-6.28 space_group="R-3m (166)" dos_at_fermi_per_ev_cell=4.3 pbc="T T T"
N -4.530 -3.676 1.871
Nd 0.000 0.000 0.000
Lu -3.108 -4.125 3.680
Lu -5.952 -3.227 0.062

7
Lattice="4.669 0.000 0.000 2.334 4.043 0.000 2.334 1.348 8.487" Properties=species:S:1:pos:R:3 comment="CeMg2Ag2Sn2, optimized geometry, DFT GGA-PBE" total_magnetization_mub_per_atom=0.113 e_tot_ev_per_atom=-3.60 formation_energy_ev_per_atom=-0.334 space_group="R-3m (166)" dos_at_fermi_per_ev_cell=7.3 pbc="T T T"
Ag 4.669 2.696 2.751
Sn 2.334 1.348 1.768
Mg 2.334 1.348 4.962
Ce 0.000 0.000 0.000
Ag 4.669 2.696 5.736
Mg 7.003 4.043 3.526
Sn 7.003 4.043 6.719